The following is a PBE-GGA calculation of an optimized crystal structure of LaErAs2O8, from Alexandria via LeMat-Bulk.

abc: 5.127 5.127 6.847
angles: 111.99 111.99 90.00
Fractional coordinates of all 12 atoms:
O (0.727, 0.824, 0.149)
O (0.675, 0.273, 0.851)
O (0.302, 0.920, 0.338)
O (0.036, 0.419, 0.338)
O (0.422, 0.325, 0.149)
O (0.176, 0.578, 0.851)
O (0.581, 0.698, 0.662)
O (0.080, 0.964, 0.662)
Er (0.000, 0.000, 0.000)
As (0.250, 0.750, 0.500)
As (0.500, 0.500, 0.000)
La (0.750, 0.250, 0.500)

For the uncorrected formation energy, the calculation gives -226.0 kJ per mole of atoms. The calculation puts the calculated total energy at -7.214 eV per atom. The magnetic moment comes out at 0.000 μB per formula unit. As for the space group: No. 82.



The following is a PBE-GGA calculation of an optimized crystal structure of Ag2WAu, from Alexandria via LeMat-Bulk.

abc: 2.773 2.773 9.914
angles: 90.00 90.00 113.94
Fractional coordinates of all 4 atoms:
W (0.500, 0.500, 0.750)
Au (0.500, 0.500, 0.250)
Ag (0.000, 0.000, 0.504)
Ag (0.000, 0.000, 0.996)

For the energy above the most stable polymorph in this dataset, the calculation gives 0.050 eV per atom. The calculation puts the calculated total energy at -5.106 eV per atom. The magnetic moment comes out at 0.000 μB per formula unit. For the calculated formation energy, the calculation gives 36.4 kJ/mol of atoms. As for the space group: No. 65.



The following is a PBE-GGA calculation of an optimized crystal structure of KCdAgF4, from Alexandria via LeMat-Bulk.

abc: 4.507 4.507 7.092
angles: 107.43 107.43 86.15
Fractional coordinates of all 7 atoms:
F (0.489, 0.964, 0.995)
F (0.801, 0.801, 0.651)
F (0.964, 0.489, 0.995)
F (0.118, 0.118, 0.339)
Ag (0.741, 0.741, 0.311)
K (0.392, 0.392, 0.708)
Cd (0.996, 0.996, 0.000)

For the uncorrected formation energy, the calculation gives -189.9 kJ per mole of atoms. The calculation puts the calculated total energy at -3.733 eV per atom. The magnetic moment comes out at 0.000 μB per formula unit. As for the space group: No. 8.